(1)
A relaxed B2C3 crystal, computed with PBE-GGA.

abc: 4.6249 4.6249 6.4784
angles: 118.03 118.03 33.62
Last column: nearest neighbours and their distance in Å.
Sites, in units of the cell vectors:
B1 0.0000 0.0000 0.0000  2 C 1.57
B2 0.0487 0.0487 0.3128  3 C 1.56-1.71
B3 0.2767 0.2767 0.1009  3 C 1.56-1.61
B4 0.6294 0.6294 0.6747  4 C 1.63-1.70
C1 0.2415 0.2415 0.8328  1 C 1.57, 3 B 1.61-1.68
C2 0.4271 0.4271 0.8595  2 C 1.54-1.57, 2 B 1.57
C3 0.4304 0.4304 0.6242  3 C 1.54-1.61, 1 B 1.63
C4 0.6463 0.6463 0.4237  1 C 1.54, 3 B 1.56-1.70
C5 0.8350 0.8350 0.2423  1 C 1.54, 3 B 1.56-1.71
C6 0.8363 0.8363 0.4810  4 C 1.54-1.61

## Properties
* energy above the lowest structure with this stoichiometry: 146 meV/atom
* Fermi-level density of states: 1.75 states/eV per cell
* SG: Cm (8)

(2)
A relaxed K2SnCl7 crystal, computed with PBE-GGA.

abc: 9.2867 9.2867 11.9309
angles: 115.91 115.91 48.75
Last column: nearest neighbours and their distance in Å.
Sites, in units of the cell vectors:
K1 0.0394 0.2986 0.0875  7 Cl 3.16-3.52
K2 0.2986 0.0394 0.5875  7 Cl 3.16-3.52
K3 0.7014 0.9606 0.4125  7 Cl 3.16-3.52
K4 0.9606 0.7014 0.9125  7 Cl 3.16-3.52
Sn1 0.2412 0.7588 0.7500  5 Cl 2.38-2.48
Sn2 0.7588 0.2412 0.2500  5 Cl 2.38-2.48
Cl1 0.0828 0.9172 0.2500  1 Sn 2.48
Cl2 0.1323 0.2516 0.8410  1 Cl 2.89, 3 K 3.16-3.20
Cl3 0.1777 0.7284 0.5235  1 Sn 2.43
Cl4 0.2516 0.1323 0.3410  1 Cl 2.89, 3 K 3.16-3.20
Cl5 0.2716 0.8223 0.9765  1 Sn 2.43
Cl6 0.2911 0.4586 0.7179  1 Sn 2.38
Cl7 0.4586 0.2911 0.2179  1 Sn 2.38
Cl8 0.5414 0.7089 0.7821  1 Sn 2.38
Cl9 0.7089 0.5414 0.2821  1 Sn 2.38
Cl10 0.7284 0.1777 0.0235  1 Sn 2.43
Cl11 0.7484 0.8677 0.6590  1 Cl 2.89, 3 K 3.16-3.20
Cl12 0.8223 0.2716 0.4765  1 Sn 2.43
Cl13 0.8677 0.7484 0.1590  1 Cl 2.89, 3 K 3.16-3.20
Cl14 0.9172 0.0828 0.7500  1 Sn 2.48

## Properties
* raw formation energy: -1.160 eV/atom
* SG: C2/c (15)

(3)
A relaxed Ce5ThRu4 crystal, computed with PBE-GGA.

abc: 7.8140 9.7164 6.7820
angles: 90.00 90.00 90.00
Last column: nearest neighbours and their distance in Å.
Sites, in units of the cell vectors:
Ce1 0.0181 0.0593 0.2187  2 Ru 2.58-2.67
Ce2 0.0181 0.4407 0.2187  2 Ru 2.58-2.67
Ce3 0.2500 0.7500 0.3971  4 Ru 2.62-2.89
Ce4 0.4819 0.0593 0.2187  2 Ru 2.58-2.67
Ce5 0.4819 0.4407 0.2187  2 Ru 2.58-2.67
Ce6 0.5181 0.5593 0.7813  2 Ru 2.58-2.67
Ce7 0.5181 0.9407 0.7813  2 Ru 2.58-2.67
Ce8 0.7500 0.2500 0.6029  4 Ru 2.62-2.89
Ce9 0.9819 0.5593 0.7813  2 Ru 2.58-2.67
Ce10 0.9819 0.9407 0.7813  2 Ru 2.58-2.67
Th1 0.2500 0.2500 0.7423  4 Ru 2.85-2.96
Th2 0.7500 0.7500 0.2577  4 Ru 2.85-2.96
Ru1 0.0702 0.7500 0.0254  3 Ce 2.58-2.89, 1 Ru 2.81
Ru2 0.2500 0.0103 0.5000  5 Ce 2.62-2.91, 1 Th 2.85
Ru3 0.2500 0.4897 0.5000  5 Ce 2.62-2.91, 1 Th 2.85
Ru4 0.4298 0.7500 0.0254  3 Ce 2.58-2.89, 1 Ru 2.81
Ru5 0.5702 0.2500 0.9746  3 Ce 2.58-2.89, 1 Ru 2.81
Ru6 0.7500 0.5103 0.5000  5 Ce 2.62-2.91, 1 Th 2.85
Ru7 0.7500 0.9897 0.5000  5 Ce 2.62-2.91, 1 Th 2.85
Ru8 0.9298 0.2500 0.9746  3 Ce 2.58-2.89, 1 Ru 2.81

## Properties
* final energy: -7.59 eV per atom
* Fermi-level density of states: 39.19 states/eV per cell
* SG: Pmmn (59)

(4)
A relaxed Pm4CSeCl2 crystal, computed with PBE-GGA.

abc: 7.1597 3.9097 7.1935
angles: 90.00 108.29 90.00
Last column: nearest neighbours and their distance in Å.
Sites, in units of the cell vectors:
Pm1 0.2020 0.0000 0.2018  2 C 2.59
Pm2 0.2136 0.5000 0.7861  1 C 2.49
Pm3 0.7864 0.5000 0.2139  1 C 2.49
Pm4 0.7980 0.0000 0.7982  2 C 2.59
C1 0.0000 0.5000 0.0000  6 Pm 2.49-2.59
Se1 0.0000 0.0000 0.5000  6 Pm 2.90-2.94
Cl1 0.5000 0.0000 0.0000  6 Pm 2.90-2.93
Cl2 0.5000 0.5000 0.5000  6 Pm 3.18-3.33

## Properties
* raw formation energy: -1.331 eV/atom
* Fermi-level density of states: 1.72 states/eV per cell
* SG: P2/m (10)

(5)
A relaxed Li2Be2HgPd5 crystal, computed with PBE-GGA.

abc: 9.8362 9.8362 3.1177
angles: 90.00 90.00 90.00
Last column: nearest neighbours and their distance in Å.
Sites, in units of the cell vectors:
Li1 0.1737 0.3263 0.0000  3 Be 2.84-2.95, 10 Pd 2.87-3.06, 2 Li 3.12
Li2 0.3263 0.8263 0.0000  3 Be 2.84-2.95, 10 Pd 2.87-3.06, 2 Li 3.12
Li3 0.6737 0.1737 0.0000  3 Be 2.84-2.95, 10 Pd 2.87-3.06, 2 Li 3.12
Li4 0.8263 0.6737 0.0000  3 Be 2.84-2.95, 10 Pd 2.87-3.06, 2 Li 3.12
Be1 0.1220 0.6220 0.0000  6 Pd 2.25-2.30
Be2 0.3780 0.1220 0.0000  6 Pd 2.25-2.30
Be3 0.6220 0.8780 0.0000  6 Pd 2.25-2.30
Be4 0.8780 0.3780 0.0000  6 Pd 2.25-2.30
Hg1 0.0000 0.0000 0.0000  8 Pd 2.77
Hg2 0.5000 0.5000 0.0000  8 Pd 2.77
Pd1 0.0000 0.5000 0.5000  4 Be 2.30
Pd2 0.0724 0.7792 0.5000  2 Be 2.25
Pd3 0.2208 0.0724 0.5000  2 Be 2.25
Pd4 0.2792 0.5724 0.5000  2 Be 2.25
Pd5 0.4276 0.2792 0.5000  2 Be 2.25
Pd6 0.5000 0.0000 0.5000  4 Be 2.30
Pd7 0.5724 0.7208 0.5000  2 Be 2.25
Pd8 0.7208 0.4276 0.5000  2 Be 2.25
Pd9 0.7792 0.9276 0.5000  2 Be 2.25
Pd10 0.9276 0.2208 0.5000  2 Be 2.25

## Properties
* final energy: -4.17 eV per atom
* Fermi-level density of states: 5.60 states/eV per cell
* SG: P4/mbm (127)

(6)
A relaxed Nb2ZnBiBr crystal, computed with PBE-GGA.

abc: 4.7920 4.7920 5.6442
angles: 90.00 90.00 90.00
Last column: nearest neighbours and their distance in Å.
Sites, in units of the cell vectors:
Nb1 0.0000 0.5000 0.0000  2 Br 2.40
Nb2 0.5000 0.0000 0.0000  2 Br 2.40
Zn1 0.0000 0.0000 0.5000  4 Bi 3.39, 8 Nb 3.70
Bi1 0.5000 0.5000 0.5000  2 Br 2.82
Br1 0.5000 0.5000 0.0000  4 Nb 2.40

## Properties
* raw formation energy: 1.324 eV/atom
* Fermi-level density of states: 5.61 states/eV per cell
* SG: P4/mmm (123)

(7)
A relaxed CeHoZn crystal, computed with PBE-GGA.

abc: 5.0054 5.0054 3.4315
angles: 90.00 90.00 120.00
Last column: nearest neighbours and their distance in Å.
Sites, in units of the cell vectors:
Ce1 0.0000 0.0000 0.0000  3 Zn 3.13, 3 Ho 3.23, 2 Ce 3.43
Ho1 0.6667 0.3333 0.5811  3 Zn 3.00, 3 Ce 3.23
Zn1 0.3333 0.6667 0.3500  3 Ho 3.00, 3 Ce 3.13

## Properties
* energy above the lowest structure with this stoichiometry: 163 meV/atom
* Fermi-level density of states: 5.20 states/eV per cell
* SG: P3m1 (156)

(8)
A relaxed Cs3TaO4 crystal, computed with PBE-GGA.

abc: 9.0353 9.3425 9.9373
angles: 90.00 90.00 90.00
Last column: nearest neighbours and their distance in Å.
Sites, in units of the cell vectors:
Cs1 0.0278 0.0136 0.2328  5 O 3.01-3.30
Cs2 0.0278 0.4864 0.2328  5 O 3.01-3.30
Cs3 0.2014 0.7500 0.5037  4 O 2.93-3.16
Cs4 0.2986 0.2500 0.0037  4 O 2.93-3.16
Cs5 0.4722 0.5136 0.7328  5 O 3.01-3.30
Cs6 0.4722 0.9864 0.7328  5 O 3.01-3.30
Cs7 0.5278 0.0136 0.2672  5 O 3.01-3.30
Cs8 0.5278 0.4864 0.2672  5 O 3.01-3.30
Cs9 0.7014 0.7500 0.9963  4 O 2.93-3.16
Cs10 0.7986 0.2500 0.4963  4 O 2.93-3.16
Cs11 0.9722 0.5136 0.7672  5 O 3.01-3.30
Cs12 0.9722 0.9864 0.7672  5 O 3.01-3.30
Ta1 0.2259 0.7500 0.9864  4 O 1.88
Ta2 0.2741 0.2500 0.4864  4 O 1.88
Ta3 0.7259 0.7500 0.5136  4 O 1.88
Ta4 0.7741 0.2500 0.0136  4 O 1.88
O1 0.0266 0.7500 0.0403  1 Ta 1.88
O2 0.1829 0.0835 0.5513  1 Ta 1.88
O3 0.1829 0.4165 0.5513  1 Ta 1.88
O4 0.2347 0.7500 0.7969  1 Ta 1.88
O5 0.2653 0.2500 0.2969  1 Ta 1.88
O6 0.3171 0.5835 0.0513  1 Ta 1.88
O7 0.3171 0.9165 0.0513  1 Ta 1.88
O8 0.4734 0.2500 0.5403  1 Ta 1.88
O9 0.5266 0.7500 0.4597  1 Ta 1.88
O10 0.6829 0.0835 0.9487  1 Ta 1.88
O11 0.6829 0.4165 0.9487  1 Ta 1.88
O12 0.7347 0.7500 0.7031  1 Ta 1.88
O13 0.7653 0.2500 0.2031  1 Ta 1.88
O14 0.8171 0.5835 0.4487  1 Ta 1.88
O15 0.8171 0.9165 0.4487  1 Ta 1.88
O16 0.9734 0.2500 0.9597  1 Ta 1.88

## Properties
* raw formation energy: -2.236 eV/atom
* Fermi-level density of states: 0.00 states/eV per cell
* SG: Pnma (62)

(9)
A relaxed Tl2GaF crystal, computed with PBE-GGA.

abc: 8.4231 8.4231 8.4231
angles: 141.04 141.04 56.28
Last column: nearest neighbours and their distance in Å.
Sites, in units of the cell vectors:
Tl1 0.0709 0.6250 0.9459  2 F 2.58
Tl2 0.3750 0.3209 0.4459  2 F 2.58
Tl3 0.6791 0.1250 0.0541  2 F 2.58
Tl4 0.8750 0.9291 0.5541  2 F 2.58
Ga1 0.2500 0.7500 0.5000  4 Tl 2.89
Ga2 0.5000 0.5000 0.0000  4 Tl 2.89
F1 0.0000 0.0000 0.0000  4 Tl 2.58
F2 0.7500 0.2500 0.5000  4 Tl 2.58

## Properties
* energy above the lowest structure with this stoichiometry: 38 meV/atom
* raw formation energy: -0.519 eV/atom
* Fermi-level density of states: 3.38 states/eV per cell
* SG: I-42d (122)

(10)
A relaxed KSmMgTe3 crystal, computed with PBE-GGA.

abc: 9.7234 4.5621 10.7395
angles: 90.00 106.96 90.00
Last column: nearest neighbours and their distance in Å.
Sites, in units of the cell vectors:
K1 0.2061 0.2500 0.2304  7 Te 3.58-3.98
K2 0.7939 0.7500 0.7696  7 Te 3.58-3.98
Sm1 0.3289 0.7500 0.8639  6 Te 3.10-3.37
Sm2 0.6711 0.2500 0.1361  6 Te 3.10-3.37
Mg1 0.0839 0.2500 0.6077  4 Te 2.75-2.87
Mg2 0.9161 0.7500 0.3923  4 Te 2.75-2.87
Te1 0.1034 0.2500 0.8688  1 Mg 2.75
Te2 0.2156 0.7500 0.5364  3 Mg 2.83-2.87
Te3 0.4597 0.7500 0.1643  3 Sm 3.10-3.14
Te4 0.5403 0.2500 0.8357  3 Sm 3.10-3.14
Te5 0.7844 0.2500 0.4636  3 Mg 2.83-2.87
Te6 0.8966 0.7500 0.1312  1 Mg 2.75

## Properties
* raw formation energy: -1.210 eV/atom
* Fermi-level density of states: 0.00 states/eV per cell
* SG: P2_1/m (11)

(11)
A relaxed Co2CuHgN crystal, computed with PBE-GGA.

abc: 3.8006 3.8006 4.1027
angles: 90.00 90.00 90.00
Last column: nearest neighbours and their distance in Å.
Sites, in units of the cell vectors:
Co1 0.0000 0.5000 0.0000  2 N 1.90
Co2 0.5000 0.0000 0.0000  2 N 1.90
Cu1 0.0000 0.0000 0.5000  2 N 2.05
Hg1 0.5000 0.5000 0.5000  4 Cu 2.69, 8 Co 2.80
N1 0.0000 0.0000 0.0000  4 Co 1.90, 2 Cu 2.05

## Properties
* raw formation energy: 0.183 eV/atom
* Fermi-level density of states: 3.77 states/eV per cell
* SG: P4/mmm (123)

no.,magnetic moment (μB per formula unit)
1,0.0
2,1.0
3,1.7
4,0.0
5,0.0
6,0.0
7,0.7
8,0.1
9,0.0
10,0.0
11,1.1